Crystalline KZrCo3 at its relaxed geometry, computed with GGA-PBE.

Calculated volume: 85 Å³/f.u.
E above lowest polymorph: 679 meV/atom
DFT total energy: -4.209 eV/atom
Density of states at the Fermi level: 4.9 states/eV per cell
Space group: Pm-3m (221)
Formation energy: 1.983 eV per atom

Unit cell a=4.4001 b=4.4001 c=4.4001 alpha=90.00 beta=90.00 gamma=90.00
Last column: nearest neighbours and their distance in Å.
Fractional coordinates of all 5 atoms:
K1 0.0000 0.0000 0.0000  6 Co 2.20
Co1 0.0000 0.0000 0.5000  2 K 2.20
Co2 0.0000 0.5000 0.0000  2 K 2.20
Co3 0.5000 0.0000 0.0000  2 K 2.20
Zr1 0.5000 0.5000 0.5000  12 Co 3.11